(1)
Sr2NbSnO6 (GGA-PBE, relaxed); E above lowest polymorph = 0 meV/atom; formation energy without anion corrections = -2445 meV per atom; total energy = -7.164 eV/atom; symmetry = No. 123
1.0
4.119 0.000 0.000
0.000 4.119 0.000
0.000 0.000 8.266
Sr Nb Sn O
2 1 1 6
Cartesian
0.000 0.000 6.192
0.000 0.000 2.075
2.059 2.059 0.000
2.059 2.059 4.133
2.059 0.000 0.000
2.059 0.000 4.133
0.000 2.059 0.000
0.000 2.059 4.133
2.059 2.059 6.238
2.059 2.059 2.028

=====

(2)
Fe3Pd4 (GGA-PBE, relaxed); E above lowest polymorph = 70 meV/atom; total energy = -6.568 eV/atom; symmetry = No. 12; ΔE_f = 0.026 eV per atom
1.0
2.696 0.000 0.000
0.000 6.546 -0.664
-1.348 -3.233 6.054
Fe Pd
3 4
Cartesian
0.000 0.000 0.000
0.000 0.527 2.517
1.348 2.786 2.872
0.000 2.408 0.696
1.348 0.906 4.694
0.000 -1.627 4.309
1.348 4.940 1.081

=====

(3)
Tl8Hg2Bi (GGA-PBE, relaxed); E above lowest polymorph = 0 meV/atom; total energy = -2.135 eV/atom; symmetry = No. 12; ΔE_f = -0.007 eV per atom
1.0
-3.484 0.987 -4.412
1.022 -8.076 -2.613
-4.166 1.560 7.330
Tl Hg Bi
8 2 1
Cartesian
-4.224 -2.702 2.730
-2.959 -6.243 -2.752
-5.145 -4.541 -0.645
-6.771 0.183 1.695
-1.482 -0.988 0.950
-3.669 0.714 3.056
-2.404 -2.827 -2.426
0.143 -5.712 -1.391
-4.625 -1.324 -0.337
-2.003 -4.205 0.641
-1.742 0.493 -2.206

=====

(4)
Na3UNi2S6 (GGA-PBE, relaxed); formation energy without anion corrections = -890 meV per atom; total energy = -5.187 eV/atom; symmetry = No. 12
1.0
-4.070 3.861 -2.741
-1.653 -3.124 5.148
4.160 4.814 2.988
Na U Ni S
3 1 2 6
Cartesian
0.032 0.428 5.350
-1.594 5.124 0.045
-0.781 2.776 2.697
0.000 0.000 0.000
-2.457 -0.798 2.522
-3.265 1.536 -0.115
-1.456 5.592 2.803
-3.251 1.530 2.350
-0.106 -0.040 2.592
-0.609 3.145 5.566
1.688 4.022 3.044
-0.953 2.407 -0.171

=====

(5)
TmPaAlRe (GGA-PBE, relaxed); total energy = -7.607 eV/atom; symmetry = No. 216; ΔE_f = -0.068 eV per atom
1.0
4.812 0.000 0.000
2.406 4.167 0.000
2.406 1.389 3.929
Re Pa Tm Al
1 1 1 1
Cartesian
2.406 1.389 0.982
4.812 2.778 1.965
7.218 4.167 2.947
0.000 0.000 0.000

=====

(6)
PSeBrO2 (GGA-PBE, relaxed); E above lowest polymorph = 0 meV/atom; formation energy without anion corrections = 188 meV per atom; total energy = -3.909 eV/atom; symmetry = No. 123
1.0
3.787 0.000 0.000
0.000 3.787 0.000
0.000 0.000 5.423
O P Se Br
2 1 1 1
Cartesian
0.000 1.894 0.000
1.894 0.000 0.000
0.000 0.000 2.711
0.000 0.000 0.000
1.894 1.894 2.711

=====

(7)
Tc2TeRh (GGA-PBE, relaxed); formation energy without anion corrections = 399 meV per atom; total energy = -7.407 eV/atom; symmetry = No. 123
1.0
-1.590 0.006 2.703
0.137 -3.132 0.088
5.645 0.341 3.321
Rh Tc Te
1 2 1
Cartesian
3.508 -1.306 3.886
0.025 0.001 0.014
2.798 0.169 1.646
0.685 -1.477 2.226

=====

(8)
BaNiBr2 (GGA-PBE, relaxed); E above lowest polymorph = 410 meV/atom; formation energy without anion corrections = -630 meV per atom; total energy = -3.393 eV/atom; symmetry = No. 225
1.0
-1.031 -2.313 4.811
-4.665 -2.680 0.784
0.023 -5.417 0.473
Ni Ba Br
1 1 2
Cartesian
0.000 0.000 0.000
-2.837 -5.205 3.034
-1.418 -2.602 1.517
-4.255 -7.807 4.551

=====

(9)
CaCdPd3 (GGA-PBE, relaxed); E above lowest polymorph = 576 meV/atom; total energy = -3.571 eV/atom; symmetry = No. 221; ΔE_f = 0.128 eV per atom
1.0
4.992 0.000 0.000
0.000 4.992 0.000
0.000 0.000 4.992
Ca Pd Cd
1 3 1
Cartesian
2.496 2.496 2.496
0.000 2.496 0.000
0.000 0.000 2.496
2.496 0.000 0.000
0.000 0.000 0.000

=====

(10)
Ca3Mg2Cu4 (GGA-PBE, relaxed); E above lowest polymorph = 118 meV/atom; total energy = -2.844 eV/atom; symmetry = No. 12; ΔE_f = -0.002 eV per atom
1.0
2.008 7.707 0.008
-2.008 7.707 0.008
0.000 2.267 6.766
Ca Mg Cu
3 2 4
Cartesian
0.000 3.090 2.952
0.000 14.590 3.831
0.000 0.000 0.000
0.000 7.297 6.657
0.000 10.383 0.126
0.000 4.996 5.189
0.000 12.684 1.593
0.000 9.045 4.597
0.000 8.635 2.186

=====

(11)
TaMo2Cl (GGA-PBE, relaxed); E above lowest polymorph = 474 meV/atom; formation energy without anion corrections = 650 meV per atom; total energy = -8.191 eV/atom; symmetry = No. 47
1.0
-2.003 -0.269 -2.204
-2.224 -3.132 2.403
-2.687 3.459 2.021
Cl Mo Ta
1 2 1
Cartesian
-2.456 0.163 2.212
0.000 0.000 0.000
-2.114 -1.700 0.099
-2.345 1.595 -0.092

=====

(12)
Tm4Tl2Hg (GGA-PBE, relaxed); E above lowest polymorph = 0 meV/atom; total energy = -3.501 eV/atom; symmetry = No. 166; ΔE_f = -0.227 eV per atom
1.0
-2.447 -4.029 -2.162
-1.424 -4.041 2.922
-8.761 1.035 1.764
Tm Tl Hg
4 2 1
Cartesian
-6.685 -6.666 1.329
-5.946 -0.368 1.195
-3.558 -4.892 0.704
-9.073 -2.143 1.820
-9.399 -5.313 1.878
-3.232 -1.722 0.646
0.000 0.000 0.000

=====

(13)
Pr2PuTh3As6 (GGA-PBE, relaxed); total energy = -7.563 eV/atom; symmetry = No. 12; ΔE_f = -1.393 eV per atom
1.0
4.265 0.000 0.000
0.000 8.498 0.311
-2.133 -2.438 8.953
Pr Pu Th As
2 1 3 6
Cartesian
2.133 4.038 6.181
0.000 2.022 3.082
2.133 0.000 0.000
2.133 4.249 0.155
2.133 -0.216 6.016
0.000 6.276 3.248
0.000 6.192 6.271
2.133 4.181 3.147
2.133 -0.132 2.993
2.133 -0.340 9.005
0.000 6.400 0.258
0.000 1.879 6.117

=====

(14)
Ho2Er2Mg (GGA-PBE, relaxed); E above lowest polymorph = 0 meV/atom; total energy = -3.987 eV/atom; symmetry = No. 139; ΔE_f = -0.012 eV per atom
1.0
3.396 0.000 -0.929
-0.798 6.380 -2.918
1.715 0.275 12.941
Ho Er Mg
4 4 2
Cartesian
2.083 5.696 7.615
2.482 2.505 9.074
2.230 0.960 1.478
1.830 4.150 0.019
0.912 3.597 3.336
3.000 6.249 4.298
3.400 3.058 5.757
1.312 0.407 4.795
3.196 1.595 -1.658
-0.598 4.785 -2.189

=====

(15)
KInIr2 (GGA-PBE, relaxed); total energy = -4.551 eV/atom; symmetry = No. 123; ΔE_f = 0.839 eV per atom
1.0
4.270 0.000 0.000
0.000 4.216 0.000
0.000 0.000 4.216
In Ir K
1 2 1
Cartesian
2.135 0.000 2.108
0.000 0.000 0.000
0.000 2.108 2.108
2.135 2.108 0.000

=====

(16)
RuPt2Cl (GGA-PBE, relaxed); E above lowest polymorph = 24 meV/atom; formation energy without anion corrections = 261 meV per atom; total energy = -5.540 eV/atom; symmetry = No. 160
1.0
-2.865 -7.658 4.599
-2.886 -8.713 1.937
-0.459 -8.709 3.457
Cl Pt Ru
1 2 1
Cartesian
-4.760 -19.223 7.659
-6.156 -24.863 9.906
-1.505 -6.076 2.421
-3.105 -12.538 4.996

=====

(17)
LiSmCu17 (GGA-PBE, relaxed); total energy = -4.045 eV/atom; symmetry = No. 160; ΔE_f = -0.031 eV per atom
1.0
6.384 0.036 0.793
0.705 6.345 0.793
0.040 0.036 6.433
Li Sm Cu
1 1 17
Cartesian
2.429 2.186 2.732
4.688 4.220 5.274
1.928 0.058 4.733
4.670 1.912 0.812
0.527 4.443 2.470
2.391 4.443 0.812
0.260 1.912 4.733
4.474 0.058 2.470
2.807 5.441 3.158
2.468 2.221 6.036
5.705 2.221 3.158
4.302 1.049 4.839
4.631 4.168 2.051
1.495 4.168 4.839
6.757 3.248 7.601
7.087 6.379 4.803
3.939 6.379 7.601
6.454 5.809 7.260
0.717 0.645 0.807

=====

(18)
K3TaPb (GGA-PBE, relaxed); total energy = -2.329 eV/atom; symmetry = No. 221; ΔE_f = 1.441 eV per atom
1.0
6.671 0.000 0.000
0.000 6.671 0.000
0.000 0.000 6.671
Pb K Ta
1 3 1
Cartesian
0.000 0.000 0.000
0.000 3.335 0.000
0.000 0.000 3.335
3.335 0.000 0.000
3.335 3.335 3.335

=====

(19)
YPuTlCd (GGA-PBE, relaxed); total energy = -6.174 eV/atom; symmetry = No. 216; ΔE_f = -0.154 eV per atom
1.0
-3.292 -1.821 3.830
1.933 -1.162 4.872
-1.230 3.123 4.191
Y Tl Cd Pu
1 1 1 1
Cartesian
-1.942 0.105 9.670
-1.294 0.070 6.447
0.000 0.000 0.000
-0.647 0.035 3.223

=====

(20)
In3RhN (GGA-PBE, relaxed); E above lowest polymorph = 207 meV/atom; formation energy without anion corrections = 747 meV per atom; total energy = -4.032 eV/atom; symmetry = No. 221
1.0
5.135 0.000 0.000
0.000 5.135 0.000
0.000 0.000 5.135
N Rh In
1 1 3
Cartesian
2.567 2.567 2.567
0.000 0.000 0.000
0.000 2.567 0.000
0.000 0.000 2.567
2.567 0.000 0.000

=====

(21)
Pa4IrRh3 (GGA-PBE, relaxed); E above lowest polymorph = 49 meV/atom; total energy = -9.340 eV/atom; symmetry = No. 221; ΔE_f = -0.728 eV per atom
1.0
-1.745 4.726 -2.542
-5.075 -0.584 2.397
1.745 3.028 4.430
Pa Ir Rh
4 1 3
Cartesian
-0.872 2.363 -1.271
-2.537 -0.292 1.199
0.872 1.514 2.215
-2.537 3.585 2.143
0.000 0.000 0.000
-1.665 1.222 3.414
0.000 3.877 0.944
-3.410 2.071 -0.073

=====

(22)
Er2SeN (GGA-PBE, relaxed); E above lowest polymorph = 37 meV/atom; formation energy without anion corrections = -1684 meV per atom; total energy = -6.918 eV/atom; symmetry = No. 160
1.0
3.609 0.000 0.000
1.805 3.126 0.000
1.805 1.042 6.551
Er Se N
2 1 1
Cartesian
1.805 1.042 5.285
1.805 1.042 1.313
3.609 2.084 3.293
5.414 3.126 6.488

=====

(23)
Ni2AsOs (GGA-PBE, relaxed); total energy = -6.705 eV/atom; symmetry = No. 123; ΔE_f = 0.155 eV per atom
1.0
3.663 0.000 0.000
0.000 3.662 0.000
0.000 0.000 3.788
As Ni Os
1 2 1
Cartesian
0.000 1.831 1.894
0.000 0.000 0.000
1.831 1.831 0.000
1.831 0.000 1.894

=====

(24)
Ag2HgCl8 (GGA-PBE, relaxed); formation energy without anion corrections = -113 meV per atom; total energy = -2.002 eV/atom; symmetry = No. 12
1.0
-1.872 0.480 6.596
4.473 -4.196 3.605
5.273 3.476 3.274
Ag Hg Cl
2 1 8
Cartesian
6.257 -0.222 9.978
1.617 -0.018 3.497
0.000 0.000 0.000
5.689 1.827 5.414
2.636 2.251 7.875
7.362 -0.439 7.631
0.513 0.199 5.845
5.238 -2.492 5.601
2.186 -2.067 8.061
4.260 -0.070 8.690
3.614 -0.171 4.785

=====

(25)
NaTl6Pb2 (GGA-PBE, relaxed); E above lowest polymorph = 18 meV/atom; total energy = -2.558 eV/atom; symmetry = No. 12; ΔE_f = -0.010 eV per atom
1.0
-4.789 -0.728 -3.206
1.101 -9.484 0.508
-1.091 4.984 5.436
Na Tl Pb
1 6 2
Cartesian
0.000 0.000 0.000
-0.620 -3.066 1.534
-4.556 1.269 1.020
-4.157 -2.161 1.204
-2.192 -2.102 -1.510
-0.222 -6.496 1.718
-1.495 -8.110 -1.188
-2.793 -5.144 -0.003
-1.985 -0.084 2.741

=====

(26)
GaAgSe2Br (GGA-PBE, relaxed); E above lowest polymorph = 71 meV/atom; formation energy without anion corrections = 269 meV per atom; total energy = -2.635 eV/atom; symmetry = No. 123
1.0
5.091 0.000 0.000
0.000 5.091 0.000
0.000 0.000 5.488
Ga Se Br Ag
1 2 1 1
Cartesian
2.545 2.545 2.744
0.000 2.545 0.000
2.545 0.000 0.000
0.000 0.000 2.744
0.000 0.000 0.000